DFT (PBE) results for crystalline SrCrAg3 at its relaxed geometry.

a = 5.124 Å, b = 5.124 Å, c = 5.124 Å
α = 90.00°, β = 90.00°, γ = 90.00°
Sites, in units of the cell vectors:
1 Sr 0.000 0.000 0.000
2 Cr 0.500 0.500 0.500
3 Ag 0.000 0.500 0.500
4 Ag 0.500 0.000 0.500
5 Ag 0.500 0.500 0.000

Properties
* distance to the lowest polymorph of the same formula: 0.000 eV/atom
* calculated total energy: -3.6070 eV/atom
* ΔH_f (0 K): 0.365 eV per atom
* spin magnetization: 0.863 μB/atom
* space-group type: Pm-3m (221)